[1]
K2AlCd6Ag: optimized geometry, PBE.

Results
Total moment ... 0.00 μB per cell
D(E_F) ... 3.4 states/eV/f.u.
Electronic total energy ... -1.437 eV per atom

abc: 7.3078 7.3631 7.5053
angles: 60.91 61.14 60.29
With the nearest neighbours (Å) after each atom.
Sites, in units of the cell vectors:
K 0.1909 0.1899 0.4292  1 Al 3.55, 9 Cd 3.65-3.87
K 0.8091 0.8101 0.5708  1 Al 3.55, 9 Cd 3.65-3.87
Al 0.0000 0.0000 0.0000  6 Cd 2.77-2.79
Cd 0.1656 0.3265 0.8770  1 Al 2.78, 1 Ag 2.92, 4 Cd 2.99-3.11
Cd 0.3249 0.6326 0.8745  1 Al 2.79, 1 Ag 2.91, 4 Cd 3.00-3.09
Cd 0.3688 0.8311 0.1257  1 Al 2.77, 1 Ag 2.89, 3 Cd 2.99-3.09
Cd 0.6312 0.1689 0.8743  1 Al 2.77, 1 Ag 2.89, 3 Cd 2.99-3.09
Cd 0.6751 0.3674 0.1255  1 Al 2.79, 1 Ag 2.91, 4 Cd 3.00-3.09
Cd 0.8344 0.6735 0.1230  1 Al 2.78, 1 Ag 2.92, 4 Cd 2.99-3.11
Ag 0.5000 0.5000 0.5000  6 Cd 2.89-2.92

[2]
Sr3MgTa: optimized geometry, PBE.

Results
Total moment ... 4.07 μB per cell
D(E_F) ... 13.4 states/eV/f.u.
Electronic total energy ... -2.418 eV per atom

abc: 6.1544 6.1544 6.1544
angles: 90.00 90.00 90.00
With the nearest neighbours (Å) after each atom.
Sites, in units of the cell vectors:
Sr 0.0000 0.0000 0.5000  2 Mg 3.08
Sr 0.0000 0.5000 0.0000  2 Mg 3.08
Sr 0.5000 0.0000 0.0000  2 Mg 3.08
Mg 0.0000 0.0000 0.0000  6 Sr 3.08
Ta 0.5000 0.5000 0.5000  12 Sr 4.35

[3]
PmDyPa4: optimized geometry, PBE.

Results
Total moment ... 0.00 μB per cell
D(E_F) ... 15.7 states/eV/f.u.
Electronic total energy ... -7.651 eV per atom

abc: 6.1663 6.1663 6.1663
angles: 60.00 60.00 60.00
With the nearest neighbours (Å) after each atom.
Sites, in units of the cell vectors:
Pm 0.0000 0.0000 0.0000  12 Pa 3.62, 4 Dy 3.78
Dy 0.7500 0.7500 0.7500  12 Pa 3.61, 4 Pm 3.78
Pa 0.3751 0.3751 0.3751  6 Pa 3.08-3.09
Pa 0.3751 0.3751 0.8746  6 Pa 3.08-3.09
Pa 0.3751 0.8746 0.3751  6 Pa 3.08-3.09
Pa 0.8746 0.3751 0.3751  6 Pa 3.08-3.09

[4]
AgPOs2: optimized geometry, PBE.

Results
Total moment ... 0.00 μB per cell
D(E_F) ... 4.0 states/eV/f.u.
Electronic total energy ... -6.829 eV per atom

abc: 4.4019 4.4019 4.4019
angles: 60.00 60.00 60.00
With the nearest neighbours (Å) after each atom.
Sites, in units of the cell vectors:
Ag 0.0000 0.0000 0.0000  4 Os 2.70, 4 P 2.70
P 0.2500 0.2500 0.2500  4 Os 2.70, 4 Ag 2.70
Os 0.5000 0.5000 0.5000  4 Os 2.70, 4 P 2.70
Os 0.7500 0.7500 0.7500  4 Ag 2.70, 4 Os 2.70

[5]
PmCdCu2P2: optimized geometry, PBE.

Results
Total moment ... 0.00 μB per cell
D(E_F) ... 1.7 states/eV/f.u.
Electronic total energy ... -4.621 eV per atom

abc: 4.0072 4.0072 7.8013
angles: 90.00 90.00 120.00
With the nearest neighbours (Å) after each atom.
Sites, in units of the cell vectors:
Pm 0.0000 0.0000 0.0000  6 P 2.96, 6 Cu 3.14
Cd 0.0000 0.0000 0.5000  6 Cu 2.92, 6 P 3.10
Cu 0.3333 0.6667 0.7285  3 P 2.33
Cu 0.6667 0.3333 0.2715  3 P 2.33
P 0.3333 0.6667 0.2361  3 Cu 2.33
P 0.6667 0.3333 0.7639  3 Cu 2.33

[6]
Tb4NdTe5: optimized geometry, PBE.

Results
Uncorrected formation energy ... -1332 meV per atom
Total moment ... 0.00 μB per cell
D(E_F) ... 5.4 states/eV/f.u.

abc: 16.0282 16.0282 16.0282
angles: 164.31 164.31 22.26
With the nearest neighbours (Å) after each atom.
Sites, in units of the cell vectors:
Tb 0.0952 0.0952 0.0000  6 Te 3.00-3.14
Tb 0.2925 0.2925 0.0000  6 Te 3.07-3.25
Tb 0.7075 0.7075 0.0000  6 Te 3.07-3.25
Tb 0.9048 0.9048 0.0000  6 Te 3.00-3.14
Nd 0.5000 0.5000 0.0000  6 Te 3.09-3.28
Te 0.0000 0.0000 0.0000  2 Tb 3.00, 4 Nd 3.09
Te 0.1950 0.1950 0.0000  6 Tb 3.07-3.14
Te 0.3958 0.3958 0.0000  5 Tb 3.11-3.25, 1 Nd 3.28
Te 0.6042 0.6042 0.0000  5 Tb 3.11-3.25, 1 Nd 3.28
Te 0.8050 0.8050 0.0000  6 Tb 3.07-3.14